Record 1
A geometry-optimized CuPtPb2O4 structure, computed with GGA-PBE.

Calculated values
ΔE_f (raw) ... -4.691 eV per formula unit
DFT total energy ... -5.260 eV/atom

Geometry as CIF:
```
data_CuPtPb2O4
_chemical_formula_sum 'Cu8 Pt8 Pb16 O32'
_space_group_name_H-M_alt 'F d d d'
_space_group_IT_number 70
_cell_length_a 5.9374
_cell_length_b 11.4818
_cell_length_c 19.7229
_cell_angle_alpha 90.00
_cell_angle_beta 90.00
_cell_angle_gamma 90.00
loop_
_space_group_symop_operation_xyz
'x,y,z'
'-x,-y,-z'
'-x+1/4,-y+1/4,z'
'x+1/4,y+1/4,-z'
'x,-y+1/4,-z+1/4'
'-x,y+1/4,z+1/4'
'-x+1/4,y,-z+1/4'
'x+1/4,-y,z+1/4'
'x,y+1/2,z+1/2'
'-x,-y+1/2,-z+1/2'
'-x+1/4,-y+3/4,z+1/2'
'x+1/4,y+3/4,-z+1/2'
'x,-y+3/4,-z+3/4'
'-x,y+3/4,z+3/4'
'-x+1/4,y+1/2,-z+3/4'
'x+1/4,-y+1/2,z+3/4'
'x+1/2,y,z+1/2'
'-x+1/2,-y,-z+1/2'
'-x+3/4,-y+1/4,z+1/2'
'x+3/4,y+1/4,-z+1/2'
'x+1/2,-y+1/4,-z+3/4'
'-x+1/2,y+1/4,z+3/4'
'-x+3/4,y,-z+3/4'
'x+3/4,-y,z+3/4'
'x+1/2,y+1/2,z'
'-x+1/2,-y+1/2,-z'
'-x+3/4,-y+3/4,z'
'x+3/4,y+3/4,-z'
'x+1/2,-y+3/4,-z+1/4'
'-x+1/2,y+3/4,z+1/4'
'-x+3/4,y+1/2,-z+1/4'
'x+3/4,-y+1/2,z+1/4'
loop_
_atom_site_label
_atom_site_type_symbol
_atom_site_fract_x
_atom_site_fract_y
_atom_site_fract_z
_atom_site_occupancy
Cu1 Cu 0.1250 0.1250 0.1250 1
Pt1 Pt 0.1250 0.1250 0.6250 1
Pb1 Pb 0.1250 0.1250 0.4465 1
O1 O 0.1112 0.2602 0.3671 1
```

---

Record 2
A geometry-optimized TlAsAu2Se4 structure, computed with GGA-PBE.

Calculated values
ΔE_f (raw) ... -0.951 eV per formula unit
DFT total energy ... -3.558 eV/atom

Geometry as CIF:
```
data_TlAsAu2Se4
_chemical_formula_sum 'Tl2 As2 Au4 Se8'
_space_group_name_H-M_alt 'I 2 2 2'
_space_group_IT_number 23
_cell_length_a 6.6361
_cell_length_b 8.1261
_cell_length_c 8.8246
_cell_angle_alpha 90.00
_cell_angle_beta 90.00
_cell_angle_gamma 90.00
loop_
_space_group_symop_operation_xyz
'x,y,z'
'-x,-y,z'
'x,-y,-z'
'-x,y,-z'
'x+1/2,y+1/2,z+1/2'
'-x+1/2,-y+1/2,z+1/2'
'x+1/2,-y+1/2,-z+1/2'
'-x+1/2,y+1/2,-z+1/2'
loop_
_atom_site_label
_atom_site_type_symbol
_atom_site_fract_x
_atom_site_fract_y
_atom_site_fract_z
_atom_site_occupancy
Tl1 Tl 0.0000 0.0000 0.0000 1
As1 As 0.0000 0.0000 0.5000 1
Au1 Au 0.0000 0.5000 0.1720 1
Se1 Se 0.1991 0.1763 0.3411 1
```

---

Record 3
A geometry-optimized Cr2AsIr structure, computed with GGA-PBE.

Calculated values
DFT total energy ... -8.121 eV/atom

Geometry as CIF:
```
data_Cr2AsIr
_chemical_formula_sum 'Cr2 As1 Ir1'
_space_group_name_H-M_alt 'P 1 2/m 1'
_space_group_IT_number 10
_cell_length_a 4.3664
_cell_length_b 2.9809
_cell_length_c 4.4676
_cell_angle_alpha 90.00
_cell_angle_beta 102.52
_cell_angle_gamma 90.00
loop_
_space_group_symop_operation_xyz
'x,y,z'
'-x,-y,-z'
'-x,y,-z'
'x,-y,z'
loop_
_atom_site_label
_atom_site_type_symbol
_atom_site_fract_x
_atom_site_fract_y
_atom_site_fract_z
_atom_site_occupancy
Cr1 Cr 0.0000 0.0000 0.0000 1
Cr2 Cr 0.5000 0.5000 0.0000 1
As1 As 0.0000 0.5000 0.5000 1
Ir1 Ir 0.5000 0.0000 0.5000 1
```

---

Record 4
A geometry-optimized Sr3Al2Zn2Pd4 structure, computed with GGA-PBE.

Calculated values
DFT total energy ... -3.821 eV/atom

Geometry as CIF:
```
data_Sr3Al2Zn2Pd4
_chemical_formula_sum 'Sr3 Al2 Zn2 Pd4'
_space_group_name_H-M_alt 'P -3 m 1'
_space_group_IT_number 164
_space_group_name_Hall '-P 3 2"'
_cell_length_a 4.3837
_cell_length_b 4.3837
_cell_length_c 15.6793
_cell_angle_alpha 90.00
_cell_angle_beta 90.00
_cell_angle_gamma 120.00
loop_
_atom_site_label
_atom_site_type_symbol
_atom_site_fract_x
_atom_site_fract_y
_atom_site_fract_z
_atom_site_occupancy
Sr1 Sr 0.0000 0.0000 0.0000 1
Sr2 Sr 0.0000 0.0000 0.2782 1
Al1 Al 0.3333 0.6667 0.5615 1
Zn1 Zn 0.3333 0.6667 0.1392 1
Pd1 Pd 0.3333 0.6667 0.4040 1
Pd2 Pd 0.3333 0.6667 0.8640 1
```

---

Record 5
A geometry-optimized ErSc3Rh structure, computed with GGA-PBE.

Calculated values
Relative energy among the computed polymorphs ... 0.000 eV/f.u.
DFT total energy ... -6.522 eV/atom

Geometry as CIF:
```
data_ErSc3Rh
_chemical_formula_sum 'Er4 Sc12 Rh4'
_space_group_name_H-M_alt 'C 1 2/m 1'
_space_group_IT_number 12
_cell_length_a 11.0746
_cell_length_b 7.9410
_cell_length_c 7.4156
_cell_angle_alpha 90.00
_cell_angle_beta 130.81
_cell_angle_gamma 90.00
loop_
_space_group_symop_operation_xyz
'x,y,z'
'-x,-y,-z'
'-x,y,-z'
'x,-y,z'
'x+1/2,y+1/2,z'
'-x+1/2,-y+1/2,-z'
'-x+1/2,y+1/2,-z'
'x+1/2,-y+1/2,z'
loop_
_atom_site_label
_atom_site_type_symbol
_atom_site_fract_x
_atom_site_fract_y
_atom_site_fract_z
_atom_site_occupancy
Er1 Er 0.0481 0.0000 0.3145 1
Sc1 Sc 0.0642 0.5000 0.2657 1
Sc2 Sc 0.2168 0.3042 0.7560 1
Rh1 Rh 0.2388 0.5000 0.1015 1
```

---

Record 6
A geometry-optimized Tl2SiPt structure, computed with GGA-PBE.

Calculated values
ΔE_f (raw) ... 1.623 eV per formula unit
DFT total energy ... -3.643 eV/atom

Geometry as CIF:
```
data_Tl2SiPt
_chemical_formula_sum 'Tl4 Si2 Pt2'
_space_group_name_H-M_alt 'C m m m'
_space_group_IT_number 65
_space_group_name_Hall '-C 2 2'
_cell_length_a 4.2792
_cell_length_b 4.9126
_cell_length_c 8.1540
_cell_angle_alpha 90.00
_cell_angle_beta 90.00
_cell_angle_gamma 90.00
loop_
_atom_site_label
_atom_site_type_symbol
_atom_site_fract_x
_atom_site_fract_y
_atom_site_fract_z
_atom_site_occupancy
Tl1 Tl 0.0000 0.0000 0.2373 1
Si1 Si 0.0000 0.5000 0.5000 1
Pt1 Pt 0.0000 0.5000 0.0000 1
```

---

Record 7
A geometry-optimized TbMgMn structure, computed with GGA-PBE.

Calculated values
DFT total energy ... -4.989 eV/atom

Geometry as CIF:
```
data_TbMgMn
_chemical_formula_sum 'Tb2 Mg2 Mn2'
_space_group_name_H-M_alt 'I 4 m m'
_space_group_IT_number 107
_space_group_name_Hall 'I 4 -2'
_cell_length_a 3.3914
_cell_length_b 3.3914
_cell_length_c 11.7299
_cell_angle_alpha 90.00
_cell_angle_beta 90.00
_cell_angle_gamma 90.00
loop_
_atom_site_label
_atom_site_type_symbol
_atom_site_fract_x
_atom_site_fract_y
_atom_site_fract_z
_atom_site_occupancy
Tb1 Tb 0.0000 0.0000 0.0000 1
Mg1 Mg 0.0000 0.0000 0.2902 1
Mn1 Mn 0.0000 0.0000 0.6561 1
```

---

Record 8
A geometry-optimized Ac2NpAgSe6 structure, computed with GGA-PBE.

Calculated values
ΔE_f (raw) ... -13.506 eV per formula unit
DFT total energy ... -5.842 eV/atom

Geometry as CIF:
```
data_Ac2NpAgSe6
_chemical_formula_sum 'Ac4 Np2 Ag2 Se12'
_space_group_name_H-M_alt 'P 1 21/c 1'
_space_group_IT_number 14
_cell_length_a 7.0510
_cell_length_b 8.0081
_cell_length_c 12.0694
_cell_angle_alpha 90.00
_cell_angle_beta 122.73
_cell_angle_gamma 90.00
loop_
_space_group_symop_operation_xyz
'x,y,z'
'-x,-y,-z'
'-x,y+1/2,-z+1/2'
'x,-y+1/2,z+1/2'
loop_
_atom_site_label
_atom_site_type_symbol
_atom_site_fract_x
_atom_site_fract_y
_atom_site_fract_z
_atom_site_occupancy
Ac1 Ac 0.2036 0.1051 0.2474 1
Np1 Np 0.5000 0.0000 0.0000 1
Ag1 Ag 0.0000 0.0000 0.5000 1
Se1 Se 0.1231 0.1740 0.9450 1
Se2 Se 0.2775 0.6955 0.9386 1
Se3 Se 0.3753 0.0363 0.7448 1
```